## DySc2MoO8 (PBE+U)

Data for crystalline DySc2MoO8 at its relaxed geometry.

Structure (POSCAR):
```
DySc2MoO8
1.0
4.864 -0.028 -0.003
-0.001 4.864 -0.005
0.004 0.007 6.564
O Dy Mo Sc
8 1 1 2
Direct
0.807 0.192 0.214 O
0.713 0.713 0.000 O
0.287 0.287 0.000 O
0.193 0.808 0.786 O
0.682 0.681 0.500 O
0.193 0.807 0.214 O
0.807 0.193 0.786 O
0.318 0.319 0.500 O
0.000 0.000 0.500 Dy
0.000 0.000 0.000 Mo
0.500 0.500 0.249 Sc
0.500 0.500 0.751 Sc
```

The calculation puts the density of states at the Fermi level at 0.478 states/eV/atom. The total magnetic moment comes out at 0.001 μB per formula unit. The total energy comes out at -7.989 eV/atom. The density comes out at 5.1 g/cm³.